1.
# SiTcC3 GGA-PBE optimized geometry
data_SiTcC3
_cell_length_a 4.0190
_cell_length_b 4.0190
_cell_length_c 4.0190
_cell_angle_alpha 90.00
_cell_angle_beta 90.00
_cell_angle_gamma 90.00
_space_group_name_H-M_alt 'P 1'
_space_group_IT_number 1
loop_
_space_group_symop_operation_xyz
'x,y,z'
loop_
_atom_site_label
_atom_site_fract_x
_atom_site_fract_y
_atom_site_fract_z
_atom_site_occupancy
Si1 0.0000 0.0000 0.0000 1
Tc1 0.5000 0.5000 0.5000 1
C1 0.0000 0.5000 0.5000 1
C2 0.5000 0.0000 0.5000 1
C3 0.5000 0.5000 0.0000 1
# ΔE_f (raw): 202 kJ per mole of atoms
# V: 65 Å³/cell
# Fermi-level density of states: 0.6463 states/eV/atom
# Uncorrected energy: -6.597 eV/atom


2.
# YTiBN2 GGA-PBE optimized geometry
data_YTiBN2
_cell_length_a 3.7923
_cell_length_b 3.7923
_cell_length_c 4.1144
_cell_angle_alpha 90.00
_cell_angle_beta 90.00
_cell_angle_gamma 90.00
_space_group_name_H-M_alt 'P 1'
_space_group_IT_number 1
loop_
_space_group_symop_operation_xyz
'x,y,z'
loop_
_atom_site_label
_atom_site_fract_x
_atom_site_fract_y
_atom_site_fract_z
_atom_site_occupancy
Y1 0.0000 0.0000 0.0000 1
Ti1 0.5000 0.5000 0.0000 1
B1 0.0000 0.0000 0.5000 1
N1 0.0000 0.5000 0.5000 1
N2 0.5000 0.0000 0.5000 1
# ΔE_f (raw): 139 kJ per mole of atoms
# V: 59 Å³/cell
# Fermi-level density of states: 0.7144 states/eV/atom
# Uncorrected energy: -6.098 eV/atom


3.
# Ho4Co2Hg5 GGA-PBE optimized geometry
data_Ho4Co2Hg5
_cell_length_a 7.5497
_cell_length_b 3.5882
_cell_length_c 9.2547
_cell_angle_alpha 90.00
_cell_angle_beta 94.54
_cell_angle_gamma 90.00
_space_group_name_H-M_alt 'P 1'
_space_group_IT_number 1
loop_
_space_group_symop_operation_xyz
'x,y,z'
loop_
_atom_site_label
_atom_site_fract_x
_atom_site_fract_y
_atom_site_fract_z
_atom_site_occupancy
Ho1 0.1773 0.0000 0.3330 1
Ho2 0.2177 0.0000 0.9328 1
Ho3 0.7823 0.0000 0.0672 1
Ho4 0.8227 0.0000 0.6670 1
Co1 0.0632 0.5000 0.1241 1
Co2 0.9368 0.5000 0.8759 1
Hg1 0.1600 0.5000 0.6400 1
Hg2 0.4444 0.5000 0.1643 1
Hg3 0.5000 0.5000 0.5000 1
Hg4 0.5556 0.5000 0.8357 1
Hg5 0.8400 0.5000 0.3600 1
# V: 250 Å³/cell
# Fermi-level density of states: 0.6695 states/eV/atom
# Formation enthalpy at 0 K: -0.36 eV/atom
# Uncorrected energy: -3.455 eV/atom


4.
# HgPb2Cl GGA-PBE optimized geometry
data_HgPb2Cl
_cell_length_a 6.3415
_cell_length_b 6.3415
_cell_length_c 6.3415
_cell_angle_alpha 146.77
_cell_angle_beta 123.21
_cell_angle_gamma 67.41
_space_group_name_H-M_alt 'P 1'
_space_group_IT_number 1
loop_
_space_group_symop_operation_xyz
'x,y,z'
loop_
_atom_site_label
_atom_site_fract_x
_atom_site_fract_y
_atom_site_fract_z
_atom_site_occupancy
Hg1 0.0000 0.0000 0.0000 1
Pb1 0.2603 0.7603 0.5000 1
Pb2 0.7397 0.2397 0.5000 1
Cl1 0.5000 0.5000 0.0000 1
# ΔE_f (raw): -23 kJ per mole of atoms
# V: 115 Å³/cell
# Fermi-level density of states: 0.6161 states/eV/atom
# Uncorrected energy: -2.631 eV/atom


Look up the Fermi-level density of states of the first one.
0.6463 states/eV/atom


The lowest Fermi-level density of states belongs to which entry?
HgPb2Cl